1.
Density functional theory data (PBE-GGA) for crystalline Pm4InRh at its relaxed geometry.

density: 7.52 g cm⁻³
E_form: -0.41 eV per atom
total moment: 0.0 μB/cell
polymorph energy (0 for the lowest one): 81.3 meV per atom

a b c (Å): 8.964 14.056 6.103
angles (deg): 90.00 113.57 90.00
Space group C2/c (No. 15)
Symmetry-distinct sites (fractional):
Pm 0.114 0.182 0.072 [8 per cell]
Pm 0.223 0.429 0.346 [8 per cell]
In 0.000 0.378 0.750 [4 per cell]
Rh 0.000 0.000 0.250 [4 per cell]


2.
Density functional theory data (PBE-GGA) for crystalline Na2CeAsO6 at its relaxed geometry.

density: 4.18 g cm⁻³
formation energy from raw total energies: -18.51 eV per formula unit
total moment: 1.0 μB/cell

a b c (Å): 5.662 5.662 4.422
angles (deg): 90.00 90.00 90.00
Space group P4mm (No. 99)
Symmetry-distinct sites (fractional):
Na 0.000 0.500 0.000 [2 per cell]
Ce 0.000 0.000 0.574 [1 per cell]
As 0.500 0.500 0.537 [1 per cell]
O 0.000 0.000 0.090 [1 per cell]
O 0.279 0.279 0.626 [4 per cell]
O 0.500 0.500 0.146 [1 per cell]